# GeB2F | Alexandria | GGA-PBE | optimized geometry
data_GeB2F
_space_group_name_H-M_alt 'I -4 2 d'
_space_group_IT_number 122
_space_group_name_Hall 'I -4 2bw'
_cell_length_a 4.517
_cell_length_b 4.517
_cell_length_c 10.119
_cell_angle_alpha 90.00
_cell_angle_beta 90.00
_cell_angle_gamma 90.00
loop_
_atom_site_label
_atom_site_fract_x
_atom_site_fract_y
_atom_site_fract_z
Ge1 0.000 0.000 0.000
B1 0.246 0.250 0.625
F1 0.000 0.000 0.500
# Offset from the most stable computed form (kJ per mole of atoms): 0.00
# Uncorrected energy (eV per atom): -4.2881
# Formation energy from raw total energies (eV per formula unit): 2.7
# Magnetic moment (μB/atom): 0.000